LiOs3: relaxed, PBEsol.

Unit cell a=3.769 b=3.769 c=3.769 alpha=90.00 beta=90.00 gamma=90.00
Sites, in units of the cell vectors:
Li: 0.000 0.000 0.000
Os: 0.000 0.500 0.500
Os: 0.500 0.000 0.500
Os: 0.500 0.500 0.000

Results
mass density = 17922 kg/m3
E_tot = -0.3343 hartree per atom
size of the total moment = 0.000 μB/f.u.

---

Li3Os: relaxed, PBEsol.

Unit cell a=2.664 b=2.664 c=9.634 alpha=90.00 beta=90.00 gamma=120.00
Sites, in units of the cell vectors:
Li: 0.000 0.000 0.000
Li: 0.667 0.333 0.272
Li: 0.667 0.333 0.728
Os: 0.000 0.000 0.500

Results
mass density = 5921 kg/m3
size of the total moment = 0.000 μB/f.u.
energy above the lowest structure with this stoichiometry = 0.000 eV/atom

---

LiOs2: relaxed, PBEsol.

Unit cell a=4.083 b=4.083 c=2.658 alpha=90.00 beta=90.00 gamma=120.00
Sites, in units of the cell vectors:
Li: 0.000 0.000 0.000
Os: 0.333 0.667 0.696
Os: 0.667 0.333 0.304

Results
mass density = 16767 kg/m3
E_tot = -0.3134 hartree per atom
size of the total moment = 0.000 μB/f.u.

---

LiP3Os: relaxed, PBEsol.

Unit cell a=4.623 b=4.623 c=4.623 alpha=90.00 beta=90.00 gamma=90.00
Sites, in units of the cell vectors:
Li: 0.000 0.000 0.000
P: 0.000 0.500 0.500
P: 0.500 0.000 0.500
P: 0.500 0.500 0.000
Os: 0.500 0.500 0.500

Results
mass density = 4875 kg/m3
E_tot = -0.2114 hartree per atom
size of the total moment = 0.003 μB/f.u.

---

LiPOs2: relaxed, PBEsol.

Unit cell a=4.573 b=4.573 c=4.573 alpha=133.19 beta=133.19 gamma=68.35
Sites, in units of the cell vectors:
Li: 0.000 0.000 0.000
P: 0.250 0.750 0.500
Os: 0.500 0.500 0.000
Os: 0.750 0.250 0.500

Results
mass density = 13917 kg/m3
E_tot = -0.2890 hartree per atom
size of the total moment = 0.000 μB/f.u.

---

LiPOs2: relaxed, PBEsol.

Unit cell a=2.696 b=2.696 c=8.557 alpha=90.00 beta=90.00 gamma=117.41
Sites, in units of the cell vectors:
Li: 0.000 0.000 0.000
P: 0.500 0.500 0.248
Os: 0.000 0.000 0.469
Os: 0.500 0.500 0.740

Results
mass density = 12587 kg/m3
E_tot = -0.2839 hartree per atom
size of the total moment = 0.000 μB/f.u.

---

LiPOs2: relaxed, PBEsol.

Unit cell a=2.759 b=2.759 c=7.462 alpha=90.00 beta=90.00 gamma=90.00
Sites, in units of the cell vectors:
Li: 0.000 0.000 0.000
P: 0.500 0.500 0.718
Os: 0.000 0.000 0.519
Os: 0.500 0.500 0.273

Results
mass density = 12235 kg/m3
E_tot = -0.2926 hartree per atom
size of the total moment = 0.000 μB/f.u.

---

LiPOs2: relaxed, PBEsol.

Unit cell a=4.031 b=4.031 c=2.904 alpha=90.00 beta=90.00 gamma=90.00
Sites, in units of the cell vectors:
Li: 0.000 0.000 0.000
P: 0.500 0.500 0.000
Os: 0.000 0.500 0.500
Os: 0.500 0.000 0.500

Results
mass density = 14719 kg/m3
E_tot = -0.2933 hartree per atom
size of the total moment = 0.000 μB/f.u.

---

LiP2OsS: relaxed, PBEsol.

Unit cell a=4.412 b=4.412 c=5.417 alpha=90.00 beta=90.00 gamma=90.00
Sites, in units of the cell vectors:
Li: 0.000 0.000 0.000
P: 0.000 0.500 0.500
P: 0.500 0.000 0.500
Os: 0.500 0.500 0.500
S: 0.500 0.500 0.000

Results
mass density = 4587 kg/m3
size of the total moment = 0.000 μB/f.u.
formation energy from raw total energies = 326 meV/atom

---

Li2TcPOs: relaxed, PBEsol.

Unit cell a=4.082 b=4.082 c=4.408 alpha=90.00 beta=90.00 gamma=90.00
Sites, in units of the cell vectors:
Li: 0.000 0.500 0.000
Li: 0.500 0.000 0.000
Tc: 0.000 0.000 0.500
P: 0.000 0.000 0.000
Os: 0.500 0.500 0.500

Results
mass density = 7531 kg/m3
E_tot = -0.2133 hartree per atom
size of the total moment = 2.032 μB/f.u.

---

LiOsPb2: relaxed, PBEsol.

Unit cell a=4.626 b=4.626 c=5.763 alpha=99.97 beta=99.97 gamma=42.05
Sites, in units of the cell vectors:
Li: 0.000 0.000 0.000
Os: 0.500 0.500 0.500
Pb: 0.241 0.241 0.735
Pb: 0.759 0.759 0.265

Results
mass density = 12511 kg/m3
size of the total moment = 0.000 μB/f.u.
energy above the lowest structure with this stoichiometry = 0.091 eV/atom

---

LiOsPb2: relaxed, PBEsol.

Unit cell a=4.750 b=4.750 c=4.750 alpha=60.00 beta=60.00 gamma=60.00
Sites, in units of the cell vectors:
Li: 0.000 0.000 0.000
Os: 0.500 0.500 0.500
Pb: 0.250 0.250 0.250
Pb: 0.750 0.750 0.750

Results
mass density = 13404 kg/m3
size of the total moment = 0.000 μB/f.u.
energy above the lowest structure with this stoichiometry = 0.000 eV/atom

---

LiOsPb2: relaxed, PBEsol.

Unit cell a=4.750 b=4.750 c=3.410 alpha=90.00 beta=90.00 gamma=90.00
Sites, in units of the cell vectors:
Li: 0.000 0.000 0.000
Os: 0.500 0.500 0.000
Pb: 0.000 0.500 0.500
Pb: 0.500 0.000 0.500

Results
mass density = 13197 kg/m3
size of the total moment = 0.000 μB/f.u.
energy above the lowest structure with this stoichiometry = 0.172 eV/atom

---

LiTeOsPb2: relaxed, PBEsol.

Unit cell a=5.205 b=5.205 c=5.498 alpha=90.00 beta=90.00 gamma=90.00
Sites, in units of the cell vectors:
Li: 0.000 0.000 0.000
Te: 0.500 0.500 0.000
Os: 0.500 0.500 0.500
Pb: 0.000 0.500 0.500
Pb: 0.500 0.000 0.500

Results
mass density = 8241 kg/m3
size of the total moment = 0.657 μB/f.u.
formation energy from raw total energies = 524 meV/atom

---

LiPm2Os: relaxed, PBEsol.

Unit cell a=4.950 b=4.950 c=4.950 alpha=60.00 beta=60.00 gamma=60.00
Sites, in units of the cell vectors:
Li: 0.000 0.000 0.000
Pm: 0.250 0.250 0.250
Pm: 0.750 0.750 0.750
Os: 0.500 0.500 0.500

Results
mass density = 9432 kg/m3
E_tot = -0.2281 hartree per atom
size of the total moment = 0.000 μB/f.u.

---

LiOsPt2: relaxed, PBEsol.

Unit cell a=2.680 b=2.680 c=9.169 alpha=90.00 beta=90.00 gamma=119.25
Sites, in units of the cell vectors:
Li: 0.000 0.000 0.000
Os: 0.000 0.000 0.500
Pt: 0.500 0.500 0.241
Pt: 0.500 0.500 0.759

Results
mass density = 16974 kg/m3
size of the total moment = 0.000 μB/f.u.
energy above the lowest structure with this stoichiometry = 0.000 eV/atom

---

LiOs2Pt: relaxed, PBEsol.

Unit cell a=4.723 b=4.723 c=4.562 alpha=97.18 beta=97.18 gamma=32.88
Sites, in units of the cell vectors:
Li: 0.000 0.000 0.000
Os: 0.241 0.241 0.755
Os: 0.759 0.759 0.245
Pt: 0.500 0.500 0.500

Results
mass density = 17655 kg/m3
size of the total moment = 0.000 μB/f.u.
energy above the lowest structure with this stoichiometry = 0.000 eV/atom

---

LiOsPt2: relaxed, PBEsol.

Unit cell a=2.674 b=2.674 c=9.276 alpha=90.00 beta=90.00 gamma=119.32
Sites, in units of the cell vectors:
Li: 0.000 0.000 0.000
Os: 0.500 0.500 0.250
Pt: 0.000 0.000 0.500
Pt: 0.500 0.500 0.766

Results
mass density = 16867 kg/m3
size of the total moment = 0.001 μB/f.u.
energy above the lowest structure with this stoichiometry = 0.056 eV/atom

---

Li2OsPt: relaxed, PBEsol.

Unit cell a=2.538 b=4.173 c=5.170 alpha=90.00 beta=90.00 gamma=90.00
Sites, in units of the cell vectors:
Li: 0.000 0.000 0.248
Li: 0.000 0.000 0.752
Os: 0.500 0.500 0.000
Pt: 0.500 0.500 0.500

Results
mass density = 12108 kg/m3
size of the total moment = 0.000 μB/f.u.
energy above the lowest structure with this stoichiometry = 0.101 eV/atom

---

Li2OsPt: relaxed, PBEsol.

Unit cell a=2.562 b=2.562 c=8.283 alpha=90.00 beta=90.00 gamma=90.00
Sites, in units of the cell vectors:
Li: 0.000 0.000 0.240
Li: 0.000 0.000 0.760
Os: 0.500 0.500 0.500
Pt: 0.500 0.500 0.000

Results
mass density = 12195 kg/m3
size of the total moment = 0.001 μB/f.u.
energy above the lowest structure with this stoichiometry = 0.033 eV/atom